Entry 1:
A plane-wave DFT calculation with SCAN was carried out for NaCdTe3 at its PBEsol-relaxed geometry.

```
NaCdTe3
1.0
5.5967 0.0000 0.0000
0.0000 5.5967 0.0000
0.0000 0.0000 5.5967
Te Cd Na
3 1 1
Direct
0.0000 0.5000 0.0000
0.5000 0.0000 0.0000
0.0000 0.0000 0.5000
0.0000 0.0000 0.0000
0.5000 0.5000 0.5000
```

Uncorrected formation energy, kcal/mol of atoms: 1.17
DOS at the Fermi energy, states/eV/f.u.: 5.54
Space group: Pm-3m, No. 221
Magnetization, Bohr magnetons per cell: 0.0


Entry 2:
A plane-wave DFT calculation with SCAN was carried out for NaCd3Te at its PBEsol-relaxed geometry.

```
NaCd3Te
1.0
-4.6838 -2.6246 1.8446
0.4771 -3.7980 -4.1924
3.1723 -3.3039 3.3540
Cd Na Te
3 1 1
Direct
0.0000 0.0000 0.5000
0.0000 0.5000 0.0000
0.5000 0.0000 0.0000
0.5000 0.5000 0.5000
0.0000 0.0000 0.0000
```

Uncorrected formation energy, kcal/mol of atoms: 8.07
DOS at the Fermi energy, states/eV/f.u.: 3.04
Space group: Pm-3m, No. 221
Magnetization, Bohr magnetons per cell: 0.0